[1]
Here is a relaxed structure of Ca3TmAl8 from the Alexandria database. Energies are from GGA-PBE.

a = 5.6384 Å, b = 5.6384 Å, c = 9.1338 Å
α = 90.00°, β = 90.00°, γ = 120.00°
Space group P3m1 (No. 156)
Asymmetric unit:
Ca  0.0000  0.0000  0.0000 [1 per cell]
Ca  0.0000  0.0000  0.3667 [1 per cell]
Ca  0.3333  0.6667  0.8677 [1 per cell]
Tm  0.3333  0.6667  0.5011 [1 per cell]
Al  0.0090  0.5045  0.1877 [3 per cell]
Al  0.3260  0.1630  0.6792 [3 per cell]
Al  0.6667  0.3333  0.4341 [1 per cell]
Al  0.6667  0.3333  0.9340 [1 per cell]

Results
The crystal system is trigonal. The formation energy comes out at -407 kJ/mol of formula units.

***

[2]
Here is a relaxed structure of ReHgPdRu2 from the Alexandria database. Energies are from GGA-PBE.

a = 4.8429 Å, b = 4.8429 Å, c = 4.7746 Å
α = 90.00°, β = 90.00°, γ = 90.00°
Space group P4/mmm (No. 123)
Asymmetric unit:
Re  0.0000  0.0000  0.0000 [1 per cell]
Hg  0.5000  0.5000  0.5000 [1 per cell]
Pd  0.5000  0.5000  0.0000 [1 per cell]
Ru  0.0000  0.5000  0.5000 [2 per cell]

Results
The crystal system is tetragonal. The formation energy comes out at 1336 kJ/mol of formula units.

***

[3]
Here is a relaxed structure of NbTeI2N from the Alexandria database. Energies are from GGA-PBE.

a = 4.8903 Å, b = 4.8903 Å, c = 4.9099 Å
α = 90.00°, β = 90.00°, γ = 90.00°
Space group P4/mmm (No. 123)
Asymmetric unit:
Nb  0.0000  0.0000  0.0000 [1 per cell]
Te  0.5000  0.5000  0.0000 [1 per cell]
I  0.0000  0.5000  0.5000 [2 per cell]
N  0.5000  0.5000  0.5000 [1 per cell]

Results
The calculation puts the raw formation energy at 1.215 eV per atom. The crystal system is tetragonal.

***

[4]
Here is a relaxed structure of K3Ag4Sn from the Alexandria database. Energies are from GGA-PBE.

a = 6.7807 Å, b = 7.6276 Å, c = 9.9145 Å
α = 90.00°, β = 90.00°, γ = 90.00°
Space group Imm2 (No. 44)
Asymmetric unit:
K  0.0000  0.0000  0.0000 [2 per cell]
K  0.0000  0.2428  0.3638 [4 per cell]
Ag  0.0000  0.3097  0.7213 [4 per cell]
Ag  0.2014  0.0000  0.6417 [4 per cell]
Sn  0.0000  0.5000  0.9611 [2 per cell]

Results
The crystal system is orthorhombic. The formation energy comes out at -21 kJ/mol of formula units.

***

[5]
Here is a relaxed structure of CsPmCuI5 from the Alexandria database. Energies are from GGA-PBE.

a = 10.4145 Å, b = 13.5870 Å, c = 11.6256 Å
α = 90.00°, β = 113.88°, γ = 90.00°
Space group C2/c (No. 15)
Asymmetric unit:
Cs  0.0000  0.1434  0.2500 [4 per cell]
Pm  0.0000  0.5000  0.0000 [4 per cell]
Cu  0.0000  0.1915  0.7500 [4 per cell]
I  0.0000  0.4213  0.2500 [4 per cell]
I  0.1071  0.2931  0.6165 [8 per cell]
I  0.1959  0.0815  0.9255 [8 per cell]

Results
The calculation puts the raw formation energy at -1.107 eV per atom. The crystal system is monoclinic.

***

[6]
Here is a relaxed structure of Pr3Nd4HoTe8 from the Alexandria database. Energies are from GGA-PBE.

a = 8.9960 Å, b = 8.9960 Å, c = 21.9759 Å
α = 90.00°, β = 90.00°, γ = 120.00°
Space group R-3m (No. 166, hexagonal axes)
Asymmetric unit:
Pr  0.0000  0.5000  0.0000 [9 per cell]
Nd  0.0000  0.0000  0.5000 [3 per cell]
Nd  0.0000  0.5000  0.5000 [9 per cell]
Ho  0.0000  0.0000  0.0000 [3 per cell]
Te  0.0000  0.0000  0.2491 [6 per cell]
Te  0.0080  0.5040  0.7489 [18 per cell]

Results
The calculation puts the raw formation energy at -1.400 eV per atom. The crystal system is trigonal.

***

Question: Number 2 is which compound?
Answer: ReHgPdRu2